# 1
DFT (GGA-PBE) results for an optimized crystal structure of FeCu2Br.

Cell: 4.8950 4.8950 4.8950 Å, 134.20 134.20 66.77°
Atoms (fractional coordinates):
Fe 0.5000 0.5000 0.0000
Cu 0.0000 0.0000 0.0000
Cu 0.2500 0.7500 0.5000
Br 0.7500 0.2500 0.5000

Symmetry: I-4m2, No. 119
Polymorph energy (0 for the lowest one) in kJ/mol of formula units: 131.0
Total DFT energy (no corrections) in eV per atom: -3.955
Energy relative to the elements, uncorrected in eV per atom: 0.63
N(E_F) in states/eV/atom: 0.452

=====

# 2
DFT (GGA-PBE) results for an optimized crystal structure of FeCu2Br.

Cell: 3.1457 3.2082 6.6041 Å, 90.03 90.00 90.00°
Atoms (fractional coordinates):
Fe 0.0000 0.7501 0.4421
Cu 0.5000 0.2500 0.2499
Cu 0.0000 0.7498 0.0699
Br 0.5000 0.7501 0.7382

Symmetry: Pmm2, No. 25
Polymorph energy (0 for the lowest one) in kJ/mol of formula units: 0.0
Total DFT energy (no corrections) in eV per atom: -4.294
Energy relative to the elements, uncorrected in eV per atom: 0.29
N(E_F) in states/eV/atom: 0.515

=====

# 3
DFT (GGA-PBE) results for an optimized crystal structure of FeCu2Br.

Cell: 3.2663 3.1996 6.4064 Å, 89.92 90.00 90.00°
Atoms (fractional coordinates):
Cu 0.0000 0.7496 0.4407
Cu 0.0000 0.7504 0.0593
Br 0.5000 0.7500 0.7500
Fe 0.5000 0.2500 0.2500

Symmetry: P2/m, No. 10
Polymorph energy (0 for the lowest one) in kJ/mol of formula units: 37.0
Total DFT energy (no corrections) in eV per atom: -4.198
Energy relative to the elements, uncorrected in eV per atom: 0.38
N(E_F) in states/eV/atom: 0.927

=====

# 4
DFT (GGA-PBE) results for an optimized crystal structure of FeCuBr2.

Cell: 4.7542 4.7542 3.3556 Å, 90.00 90.00 90.02°
Atoms (fractional coordinates):
Br 0.0000 0.0000 0.0000
Br 0.5000 0.5000 0.0000
Cu 0.5000 0.0000 0.5000
Fe 0.0000 0.5000 0.5000

Symmetry: P4/mmm, No. 123
Polymorph energy (0 for the lowest one) in kJ/mol of formula units: 143.9
Total DFT energy (no corrections) in eV per atom: -3.531
Energy relative to the elements, uncorrected in eV per atom: 0.45
N(E_F) in states/eV/atom: 0.504

=====

# 5
DFT (GGA-PBE) results for an optimized crystal structure of FeCuBr2.

Cell: 7.1746 7.1746 7.1746 Å, 29.06 29.06 29.06°
Atoms (fractional coordinates):
Br 0.0017 0.0017 0.0017
Br 0.4983 0.4983 0.4983
Cu 0.2500 0.2500 0.2500
Fe 0.7500 0.7500 0.7500

Symmetry: R-3m, No. 166
Polymorph energy (0 for the lowest one) in kJ/mol of formula units: 54.9
Total DFT energy (no corrections) in eV per atom: -3.761
Energy relative to the elements, uncorrected in eV per atom: 0.21
N(E_F) in states/eV/atom: 0.810

=====

# 6
DFT (GGA-PBE) results for an optimized crystal structure of FeCuBr2.

Cell: 3.5163 3.9715 6.7208 Å, 94.57 90.00 90.00°
Atoms (fractional coordinates):
Br 0.0000 0.5146 0.4975
Br 0.0000 0.9854 0.0025
Cu 0.5000 0.2500 0.2500
Fe 0.5000 0.7500 0.7500

Symmetry: P2/m, No. 10
Polymorph energy (0 for the lowest one) in kJ/mol of formula units: 90.1
Total DFT energy (no corrections) in eV per atom: -3.670
Energy relative to the elements, uncorrected in eV per atom: 0.31
N(E_F) in states/eV/atom: 0.499

=====

# 7
DFT (GGA-PBE) results for an optimized crystal structure of FeCu2Br.

Cell: 4.1130 3.8235 3.8235 Å, 90.00 90.00 90.00°
Atoms (fractional coordinates):
Br 0.5000 0.0000 0.5000
Cu 0.0000 0.5000 0.5000
Cu 0.0000 0.0000 0.0000
Fe 0.5000 0.5000 0.0000

Symmetry: P4/mmm, No. 123
Polymorph energy (0 for the lowest one) in kJ/mol of formula units: 135.3
Total DFT energy (no corrections) in eV per atom: -3.944
Energy relative to the elements, uncorrected in eV per atom: 0.64
N(E_F) in states/eV/atom: 1.114

=====

# 8
DFT (GGA-PBE) results for an optimized crystal structure of FeCu2Br.

Cell: 4.4540 4.4540 4.4540 Å, 60.00 60.00 60.00°
Atoms (fractional coordinates):
Br 0.5000 0.5000 0.5000
Cu 0.7500 0.7500 0.7500
Cu 0.2500 0.2500 0.2500
Fe 0.0000 0.0000 0.0000

Symmetry: Fm-3m, No. 225
Polymorph energy (0 for the lowest one) in kJ/mol of formula units: 194.3
Total DFT energy (no corrections) in eV per atom: -3.791
Energy relative to the elements, uncorrected in eV per atom: 0.79
N(E_F) in states/eV/atom: 2.470